{"formula": "NbAsPBr2", "functional": "PBE", "state": "relaxed", "spacegroup": "No. 123", "volume_a3_per_atom": 24.05, "e_tot_ev_per_atom": -3.80, "magnetic_moment_mub_per_fu": 2.67, "e_form_raw_ev_per_atom": 0.897, "lattice_angstrom": [[-1.5297, -4.6532, 0.2213], [4.6425, -1.5035, 0.4771], [-0.3926, 0.3655, 4.9729]], "species": ["Br", "Br", "P", "Nb", "As"], "fractional_positions": [[0.5000, 0.0000, 0.0000], [0.0000, 0.5000, 0.0000], [0.0000, 0.0000, 0.0000], [0.5000, 0.5000, 0.5000], [0.0000, 0.0000, 0.5000]]}